Below is a geometry-optimized HfBe2Cr2 structure, with properties calculated at the PBE level.

Lattice parameters (Å, degrees): 6.299 6.299 3.060 90.00 90.00 90.00
Positions (direct):
Be  0.113  0.387  0.000
Hf  0.000  0.000  0.000
Cr  0.674  0.826  0.500
Be  0.887  0.613  0.000
Hf  0.500  0.500  0.000
Be  0.613  0.113  0.000
Cr  0.174  0.674  0.500
Cr  0.826  0.326  0.500
Be  0.387  0.887  0.000
Cr  0.326  0.174  0.500

- E_tot (eV per atom) = -7.247
- volume (A^3/atom) = 12.14
- DOS(E_F) (states/eV/atom) = 0.8396
- polymorph energy (0 for the lowest one) (meV per atom) = 0.0
- total magnetization (μB/f.u.) = 0.00
- E_form (eV per formula unit) = 0.416